1.
# GaCuH | Alexandria via LeMat-Bulk | PBE | optimized geometry
data_GaCuH
_chemical_formula_sum 'Ga4 Cu4 H4'
_cell_length_a 7.6087
_cell_length_b 2.7526
_cell_length_c 7.9487
_cell_angle_alpha 90.00
_cell_angle_beta 90.64
_cell_angle_gamma 90.00
_symmetry_space_group_name_H-M 'C 1 2/m 1'
_symmetry_Int_Tables_number 12
loop_
_symmetry_equiv_pos_as_xyz
'x,y,z'
'-x,-y,-z'
'-x,y,-z'
'x,-y,z'
'x+1/2,y+1/2,z'
'-x+1/2,-y+1/2,-z'
'-x+1/2,y+1/2,-z'
'x+1/2,-y+1/2,z'
loop_
_atom_site_label
_atom_site_type_symbol
_atom_site_fract_x
_atom_site_fract_y
_atom_site_fract_z
Ga1 Ga 0.1346 0.0000 0.2515
Cu1 Cu 0.1371 0.0000 0.9220
H1 H 0.1318 0.5000 0.3934
# * total DFT energy (no corrections): -3.261 eV per atom
# * N(E_F): 2.591 states/eV per cell
# * volume: 13.87 Å³/atom
# * mass density: 5.36 g cm⁻³

---

2.
# GaCuH3 | Alexandria via LeMat-Bulk | PBE | optimized geometry
data_GaCuH3
_chemical_formula_sum 'Ga1 Cu1 H3'
_cell_length_a 3.6130
_cell_length_b 3.6130
_cell_length_c 3.6130
_cell_angle_alpha 90.00
_cell_angle_beta 90.00
_cell_angle_gamma 90.00
_symmetry_space_group_name_H-M 'P m -3 m'
_symmetry_Int_Tables_number 221
_symmetry_space_group_name_Hall '-P 4 2 3'
loop_
_atom_site_label
_atom_site_type_symbol
_atom_site_fract_x
_atom_site_fract_y
_atom_site_fract_z
Ga1 Ga 0.0000 0.0000 0.0000
Cu1 Cu 0.5000 0.5000 0.5000
H1 H 0.0000 0.0000 0.5000
# * total DFT energy (no corrections): -2.797 eV per atom
# * N(E_F): 1.141 states/eV per cell
# * volume: 9.43 Å³/atom
# * mass density: 4.80 g cm⁻³